Record 1
# CdHgPd, relaxed, DFT PBE
data_CdHgPd
_cell_length_a 3.001
_cell_length_b 4.721
_cell_length_c 4.796
_cell_angle_alpha 90.00
_cell_angle_beta 90.00
_cell_angle_gamma 90.00
_space_group_name_H-M_alt 'P 1'
_space_group_IT_number 1
_space_group_name_Hall 'P 1'
loop_
_atom_site_label
_atom_site_fract_x
_atom_site_fract_y
_atom_site_fract_z
Cd1 0.000 0.500 0.500
Hg1 0.000 0.000 0.000
Pd1 0.500 0.000 0.500
# final energy: -2.36 eV/atom
# ΔE_f: -0.677 eV per formula unit



Record 2
# InGa2Tc2, relaxed, DFT PBE
data_InGa2Tc2
_cell_length_a 3.629
_cell_length_b 3.629
_cell_length_c 7.000
_cell_angle_alpha 74.98
_cell_angle_beta 74.98
_cell_angle_gamma 90.00
_space_group_name_H-M_alt 'P 1'
_space_group_IT_number 1
_space_group_name_Hall 'P 1'
loop_
_atom_site_label
_atom_site_fract_x
_atom_site_fract_y
_atom_site_fract_z
Tc1 0.400 0.400 0.199
Tc2 0.600 0.600 0.801
Ga1 0.750 0.250 0.500
Ga2 0.250 0.750 0.500
In1 0.000 0.000 0.000
# final energy: -5.69 eV/atom
# ΔE_f: 1.085 eV per formula unit



Record 3
# Li2PmGa, relaxed, DFT PBE
data_Li2PmGa
_cell_length_a 4.759
_cell_length_b 4.759
_cell_length_c 4.759
_cell_angle_alpha 60.00
_cell_angle_beta 60.00
_cell_angle_gamma 60.00
_space_group_name_H-M_alt 'P 1'
_space_group_IT_number 1
_space_group_name_Hall 'P 1'
loop_
_atom_site_label
_atom_site_fract_x
_atom_site_fract_y
_atom_site_fract_z
Li1 0.250 0.250 0.250
Li2 0.750 0.750 0.750
Ga1 0.500 0.500 0.500
Pm1 0.000 0.000 0.000
# final energy: -3.17 eV/atom
# ΔE_f: -1.088 eV per formula unit



Record 4
# Cs3Rb2PaS6, relaxed, DFT PBE
data_Cs3Rb2PaS6
_cell_length_a 8.160
_cell_length_b 8.160
_cell_length_c 8.282
_cell_angle_alpha 99.64
_cell_angle_beta 99.64
_cell_angle_gamma 119.49
_space_group_name_H-M_alt 'P 1'
_space_group_IT_number 1
_space_group_name_Hall 'P 1'
loop_
_atom_site_label
_atom_site_fract_x
_atom_site_fract_y
_atom_site_fract_z
Cs1 0.176 0.824 0.500
Cs2 0.824 0.176 0.500
Cs3 0.500 0.500 0.500
Rb1 0.334 0.666 0.000
Rb2 0.666 0.334 0.000
Pa1 0.000 0.000 0.000
S1 0.935 0.668 0.803
S2 0.804 0.804 0.198
S3 0.065 0.332 0.197
S4 0.668 0.935 0.803
S5 0.196 0.196 0.802
S6 0.332 0.065 0.197
# final energy: -4.40 eV/atom